# NbVCo2F | the Alexandria database | PBE+U | optimized geometry
data_NbVCo2F
_cell_length_a 4.3380
_cell_length_b 4.8881
_cell_length_c 4.3380
_cell_angle_alpha 90.00
_cell_angle_beta 90.00
_cell_angle_gamma 90.00
_symmetry_space_group_name_H-M 'P 1'
_symmetry_Int_Tables_number 1
loop_
_symmetry_equiv_pos_as_xyz
'x,y,z'
loop_
_atom_site_label
_atom_site_fract_x
_atom_site_fract_y
_atom_site_fract_z
Nb1 0.0000 0.5000 0.0000
F1 0.5000 0.5000 0.5000
Co1 0.0000 0.0000 0.5000
Co2 0.5000 0.0000 0.0000
V1 0.0000 0.0000 0.0000
# * DFT total energy: -4.473 eV/atom